(1)
Entry from the Alexandria database: LiVSb2Te after structural relaxation (GGA-PBE).

- total magnetization (μB/cell) = 0.0
- relative energy among the computed polymorphs (meV/atom) = 0
- uncorrected energy (eV per atom) = -4.35
- DOS at the Fermi energy (states/eV/cell) = 3.85

Unit cell a=5.1928 b=5.1928 c=5.2579 alpha=90.00 beta=90.00 gamma=90.00
Closest atoms and distances in Å follow each position.
Atoms (fractional coordinates):
Sb 0.0000 0.5000 0.0000  2 V 2.60
Sb 0.5000 0.0000 0.0000  2 V 2.60
Te 0.0000 0.0000 0.5000  2 V 2.63
Li 0.5000 0.5000 0.5000  4 Te 3.67, 8 Sb 3.69
V 0.0000 0.0000 0.0000  4 Sb 2.60, 2 Te 2.63


(2)
Entry from the Alexandria database: Pm2MgGa2Rh5 after structural relaxation (GGA-PBE).

- E_form (eV/f.u.) = -7.0
- total magnetization (μB/cell) = 0.0
- uncorrected energy (eV per atom) = -6.09
- DOS at the Fermi energy (states/eV/cell) = 9.32

Unit cell a=3.5611 b=9.9883 c=9.9883 alpha=90.00 beta=90.00 gamma=90.00
Closest atoms and distances in Å follow each position.
Atoms (fractional coordinates):
Pm 0.0000 0.6747 0.1747  3 Ga 2.85-3.02, 6 Rh 3.04-3.15
Pm 0.0000 0.3253 0.8253  3 Ga 2.85-3.02, 6 Rh 3.04-3.15
Pm 0.0000 0.1747 0.3253  3 Ga 2.85-3.02, 6 Rh 3.04-3.15
Pm 0.0000 0.8253 0.6747  3 Ga 2.85-3.02, 6 Rh 3.04-3.15
Mg 0.0000 0.0000 0.0000  8 Rh 2.81
Mg 0.0000 0.5000 0.5000  8 Rh 2.81
Ga 0.0000 0.1237 0.6237  6 Rh 2.49-2.52
Ga 0.0000 0.8763 0.3763  6 Rh 2.49-2.52
Ga 0.0000 0.6237 0.8763  6 Rh 2.49-2.52
Ga 0.0000 0.3763 0.1237  6 Rh 2.49-2.52
Rh 0.5000 0.2076 0.0672  2 Ga 2.52, 2 Mg 2.81
Rh 0.5000 0.7924 0.9328  2 Ga 2.52, 2 Mg 2.81
Rh 0.5000 0.0672 0.7924  2 Ga 2.52, 2 Mg 2.81
Rh 0.5000 0.7076 0.4328  2 Ga 2.52, 2 Mg 2.81
Rh 0.5000 0.9328 0.2076  2 Ga 2.52, 2 Mg 2.81
Rh 0.5000 0.2924 0.5672  2 Ga 2.52, 2 Mg 2.81
Rh 0.5000 0.5672 0.7076  2 Ga 2.52, 2 Mg 2.81
Rh 0.5000 0.4328 0.2924  2 Ga 2.52, 2 Mg 2.81
Rh 0.5000 0.5000 0.0000  4 Ga 2.49
Rh 0.5000 0.0000 0.5000  4 Ga 2.49


Which formula does entry 1 have? LiVSb2Te